VASP calculation (PBE) on a relaxed structure of MgBeZn.

Output
size of the total moment: 0.00 Bohr magnetons per cell
excess energy over the best structure of this formula in the dataset: 121 meV/atom
calculated formation energy: 13.1 kJ per mole of atoms
DOS at the Fermi energy: 0.35 states/eV per atom

Cell and atoms, written as CIF:
```
data_MgBeZn
_chemical_formula_sum 'Mg1 Be1 Zn1'
_symmetry_space_group_name_H-M 'P -6 m 2'
_symmetry_Int_Tables_number 187
_symmetry_space_group_name_Hall 'P -6 2'
_cell_length_a 4.1406
_cell_length_b 4.1406
_cell_length_c 2.9982
_cell_angle_alpha 90.00
_cell_angle_beta 90.00
_cell_angle_gamma 120.00
loop_
_atom_site_label
_atom_site_fract_x
_atom_site_fract_y
_atom_site_fract_z
Mg1 0.0000 0.0000 0.0000
Be1 0.6667 0.3333 0.5000
Zn1 0.3333 0.6667 0.5000
```